Density functional theory data (GGA+U) for GaNiF2 after structural relaxation.

Geometry as extended XYZ:
```
4
Lattice="0.000 2.952 2.952 2.952 0.000 2.952 2.952 2.952 0.000" Properties=species:S:1:pos:R:3 pbc="T T T"
Ga 0.000 0.000 0.000
Ni 2.952 2.952 2.952
F 1.476 1.476 1.476
F 4.427 4.427 4.427
```

Results
ΔE to the lowest computed polymorph, kJ per mole of atoms: 79.7
Final energy, eV per formula unit: -11.76
Theoretical density, g cm⁻³: 5.4
Space-group type: No. 225
Spin magnetization, μB/cell: 1.00

Density functional theory data (GGA+U) for Ga3NiF after structural relaxation.

Geometry as extended XYZ:
```
5
Lattice="4.511 0.000 0.000 0.000 4.511 0.000 0.000 0.000 4.511" Properties=species:S:1:pos:R:3 pbc="T T T"
Ga 0.000 0.000 2.255
Ga 0.000 2.255 0.000
Ga 2.255 0.000 0.000
Ni 2.255 2.255 2.255
F 0.000 0.000 0.000
```

Results
ΔE to the lowest computed polymorph, kJ per mole of atoms: 50.9
Final energy, eV per formula unit: -12.66
Theoretical density, g cm⁻³: 5.2
Space-group type: No. 221
Spin magnetization, μB/cell: 0.66

Density functional theory data (GGA+U) for GaNiF2 after structural relaxation.

Geometry as extended XYZ:
```
4
Lattice="1.518 0.876 8.244 -1.518 0.876 8.244 0.000 -1.753 8.244" Properties=species:S:1:pos:R:3 pbc="T T T"
Ga 0.000 0.000 0.000
Ni 0.000 0.000 12.366
F 0.000 0.000 3.094
F 0.000 0.000 21.638
```

Results
ΔE to the lowest computed polymorph, kJ per mole of atoms: 0.0
Final energy, eV per formula unit: -15.06
Theoretical density, g cm⁻³: 4.2
Space-group type: No. 166
Spin magnetization, μB/cell: 1.88

Density functional theory data (GGA+U) for GaNi2F2 after structural relaxation.

Geometry as extended XYZ:
```
5
Lattice="-1.694 1.694 6.441 1.694 -1.694 6.441 1.694 1.694 -6.441" Properties=species:S:1:pos:R:3 pbc="T T T"
Ga 0.000 0.000 0.000
Ni 1.694 0.000 3.220
Ni 0.000 1.694 3.220
F 0.000 0.000 5.011
F 0.000 0.000 7.870
```

Results
ΔE to the lowest computed polymorph, kJ per mole of atoms: 13.0
Final energy, eV per formula unit: -14.09
Theoretical density, g cm⁻³: 5.1
Space-group type: No. 139
Spin magnetization, μB/cell: 2.11

Density functional theory data (GGA+U) for GaNiF6 after structural relaxation.

Geometry as extended XYZ:
```
16
Lattice="4.878 0.000 0.000 -2.439 4.224 0.000 0.000 0.000 8.942" Properties=species:S:1:pos:R:3 pbc="T T T"
Ga 0.000 2.816 2.236
Ga 2.439 1.408 6.707
Ni 0.000 0.000 0.000
Ni 0.000 0.000 4.471
F -0.683 1.412 1.109
F -1.558 2.927 3.362
F 0.683 1.412 3.362
F -0.875 4.110 1.109
F 1.564 0.114 5.580
F 0.881 1.297 7.834
F 1.558 2.927 1.109
F 0.875 4.110 3.362
F 3.314 0.114 7.834
F 1.756 2.813 5.580
F 3.997 1.297 5.580
F 3.122 2.813 7.834
```

Results
Final energy, eV per formula unit: -33.71
Theoretical density, g cm⁻³: 4.4
Space-group type: No. 163
Spin magnetization, μB/cell: 6.14

Density functional theory data (GGA+U) for Ga3NiF after structural relaxation.

Geometry as extended XYZ:
```
5
Lattice="4.497 0.000 0.000 0.000 4.497 0.000 0.000 0.000 4.497" Properties=species:S:1:pos:R:3 pbc="T T T"
Ga 0.000 0.000 2.249
Ga 0.000 2.249 0.000
Ga 2.249 0.000 0.000
Ni 0.000 0.000 0.000
F 2.249 2.249 2.249
```

Results
ΔE to the lowest computed polymorph, kJ per mole of atoms: 0.0
Final energy, eV per formula unit: -15.30
Theoretical density, g cm⁻³: 5.2
Space-group type: No. 221
Spin magnetization, μB/cell: 0.00

Density functional theory data (GGA+U) for GaNiF2 after structural relaxation.

Geometry as extended XYZ:
```
4
Lattice="1.519 0.877 7.277 -1.519 0.877 7.277 0.000 -1.754 7.277" Properties=species:S:1:pos:R:3 pbc="T T T"
Ga 0.000 0.000 0.000
Ni 0.000 0.000 10.916
F 0.000 0.000 9.021
F 0.000 0.000 12.810
```

Results
ΔE to the lowest computed polymorph, kJ per mole of atoms: 35.9
Final energy, eV per formula unit: -13.57
Theoretical density, g cm⁻³: 4.8
Space-group type: No. 166
Spin magnetization, μB/cell: 0.90

Density functional theory data (GGA+U) for GaNiF2 after structural relaxation.

Geometry as extended XYZ:
```
8
Lattice="-3.209 3.209 2.677 3.209 -3.209 2.677 3.209 3.209 -2.677" Properties=species:S:1:pos:R:3 pbc="T T T"
Ga 0.000 0.000 0.000
Ga 0.000 3.209 1.338
Ni 3.209 0.000 1.338
Ni 0.000 0.000 2.677
F 1.604 -1.125 2.008
F 2.084 1.604 0.669
F 1.604 4.334 -0.669
F 1.125 1.604 3.346
```

Results
ΔE to the lowest computed polymorph, kJ per mole of atoms: 17.9
Final energy, eV per formula unit: -14.32
Theoretical density, g cm⁻³: 5.0
Space-group type: No. 122
Spin magnetization, μB/cell: 2.00

Density functional theory data (GGA+U) for GaNiF4 after structural relaxation.

Geometry as extended XYZ:
```
6
Lattice="4.607 0.000 0.000 0.000 3.027 0.000 -2.062 0.000 5.895" Properties=species:S:1:pos:R:3 pbc="T T T"
Ga 0.000 0.000 0.000
Ni 1.273 1.513 2.948
F -1.066 1.513 5.147
F 1.094 0.000 1.548
F 1.451 0.000 4.347
F 3.611 1.513 0.749
```

Results
Final energy, eV per formula unit: -25.36
Theoretical density, g cm⁻³: 4.1
Space-group type: No. 10
Spin magnetization, μB/cell: 1.00

Density functional theory data (GGA+U) for GaNi2F2 after structural relaxation.

Geometry as extended XYZ:
```
10
Lattice="6.676 0.000 0.000 0.000 6.676 0.000 0.000 0.000 2.783" Properties=species:S:1:pos:R:3 pbc="T T T"
Ga 0.000 0.000 0.000
Ga 3.338 3.338 0.000
Ni 1.228 2.110 1.392
Ni 2.110 5.448 1.392
Ni 4.566 1.228 1.392
Ni 5.448 4.566 1.392
F 0.903 4.241 0.000
F 2.435 0.903 0.000
F 4.241 5.772 0.000
F 5.772 2.435 0.000
```

Results
ΔE to the lowest computed polymorph, kJ per mole of atoms: 0.0
Final energy, eV per formula unit: -14.76
Theoretical density, g cm⁻³: 6.0
Space-group type: No. 127
Spin magnetization, μB/cell: 4.24

Density functional theory data (GGA+U) for GaNiF5 after structural relaxation.

Geometry as extended XYZ:
```
14
Lattice="4.088 -3.466 0.000 4.088 3.466 0.000 -3.503 0.000 6.766" Properties=species:S:1:pos:R:3 pbc="T T T"
Ga 1.461 3.042 5.074
Ga 3.212 -3.042 1.691
Ni 4.088 0.000 0.000
Ni 2.337 0.000 3.383
F -1.185 0.395 5.747
F 1.994 2.031 3.656
F 0.928 2.031 6.493
F 0.566 -0.395 2.364
F 3.212 0.389 1.691
F 1.461 -0.389 5.074
F 4.107 0.395 4.401
F 3.746 -2.031 0.273
F 2.679 -2.031 3.110
F 5.859 -0.395 1.018
```

Results
Final energy, eV per formula unit: -31.27
Theoretical density, g cm⁻³: 3.9
Space-group type: No. 15
Spin magnetization, μB/cell: 4.02

Density functional theory data (GGA+U) for GaNi2OsF after structural relaxation.

Geometry as extended XYZ:
```
5
Lattice="4.661 0.000 0.000 0.000 4.661 0.000 0.000 0.000 4.784" Properties=species:S:1:pos:R:3 pbc="T T T"
Ga 0.000 0.000 0.000
Ni 0.000 2.330 2.392
Ni 2.330 0.000 2.392
Os 0.000 0.000 2.392
F 2.330 2.330 0.000
```

Results
Final energy, eV per formula unit: -16.25
Theoretical density, g cm⁻³: 6.3
Space-group type: No. 123
Spin magnetization, μB/cell: 2.27